The following is a DFT calculation (PBE-GGA) of a relaxed structure of CeZn5Cd7.

Cell and atoms, written as extended XYZ:
```
13
Lattice="-1.7599 0.9643 -5.2496 -6.5048 -3.0932 -1.3958 -4.0606 6.0877 -0.5289" Properties=species:S:1:pos:R:3 pbc="T T T"
Ce -10.5224 2.9846 -1.9409
Zn -9.4086 0.5156 -4.2733
Zn -10.2878 0.9973 -6.8959
Zn -8.2287 4.9475 -3.8548
Zn -9.1079 5.4292 -6.4773
Zn -9.5120 3.0309 -5.2795
Cd -4.7850 1.6618 -4.1074
Cd -7.4889 2.2852 -3.0864
Cd -6.6915 3.8711 -6.0708
Cd -7.4392 1.0625 -6.3360
Cd -2.8231 0.9302 -1.8911
Cd -6.8630 -0.6879 -3.8423
Cd -5.4439 4.6425 -3.3389
```

Calculated values
Crystal system ... orthorhombic
Formation energy from the elements ... -10 kJ per mole of atoms
DOS(E_F) ... 9.60 states/eV/cell


The following is a DFT calculation (PBE-GGA) of a relaxed structure of CeZrZnCd.

Cell and atoms, written as extended XYZ:
```
4
Lattice="-0.4648 -3.0945 0.0466 3.0361 -0.4650 -0.6001 1.7023 -0.1245 8.7089" Properties=species:S:1:pos:R:3 pbc="T T T"
Ce 2.6532 -1.8798 6.7196
Zr 1.8656 -1.8222 2.6902
Zn 0.9401 -0.0687 4.8094
Cd 0.1505 -0.0110 0.7701
```

Calculated values
Crystal system ... tetragonal
Formation energy from the elements ... -18 kJ per mole of atoms
DOS(E_F) ... 6.78 states/eV/cell
Energy above the lowest structure with this stoichiometry ... 0.0000 eV per atom


The following is a DFT calculation (PBE-GGA) of a relaxed structure of CeZrZnCd.

Cell and atoms, written as extended XYZ:
```
4
Lattice="-3.0376 0.5003 -4.0381 -3.9590 -3.1222 -0.6013 -4.7290 1.7553 0.5822" Properties=species:S:1:pos:R:3 pbc="T T T"
Zn -2.9314 -0.2167 -1.0143
Zr -5.8628 -0.4333 -2.0286
Ce 0.0000 0.0000 0.0000
Cd -8.7942 -0.6500 -3.0429
```

Calculated values
Crystal system ... cubic
Formation energy from the elements ... -4 kJ per mole of atoms
DOS(E_F) ... 9.87 states/eV/cell
Energy above the lowest structure with this stoichiometry ... 0.1402 eV per atom


The following is a DFT calculation (PBE-GGA) of a relaxed structure of Ce2ZrCd6.

Cell and atoms, written as extended XYZ:
```
9
Lattice="3.1981 -0.0001 0.0010 0.0013 7.5977 4.3692 -0.0002 0.0155 8.7644" Properties=species:S:1:pos:R:3 pbc="T T T"
Ce 0.0004 2.5374 4.3773
Ce 3.1989 5.0757 8.7573
Zr 0.0000 0.0000 0.0000
Cd 1.5973 5.1220 2.9463
Cd 1.6030 7.6024 7.2254
Cd 1.6020 2.4911 10.1883
Cd 1.5999 5.1264 5.8022
Cd 1.5963 0.0107 5.9092
Cd 1.5994 2.4867 7.3324
```

Calculated values
Crystal system ... hexagonal
Formation energy from the elements ... -17 kJ per mole of atoms
DOS(E_F) ... 16.31 states/eV/cell


The following is a DFT calculation (PBE-GGA) of a relaxed structure of CeZr2Cd.

Cell and atoms, written as extended XYZ:
```
4
Lattice="4.3278 0.0000 0.0000 0.0000 4.6686 0.0000 0.0000 0.0000 4.6686" Properties=species:S:1:pos:R:3 pbc="T T T"
Zr 0.0000 0.0000 2.3343
Zr 0.0000 2.3343 0.0000
Ce 2.1639 2.3343 2.3343
Cd 2.1639 0.0000 0.0000
```

Calculated values
Crystal system ... tetragonal
Formation energy from the elements ... 0 kJ per mole of atoms
DOS(E_F) ... 4.52 states/eV/cell
Energy above the lowest structure with this stoichiometry ... 0.0065 eV per atom


The following is a DFT calculation (PBE-GGA) of a relaxed structure of CeZr2Cd.

Cell and atoms, written as extended XYZ:
```
4
Lattice="-1.2072 -2.8250 -1.1705 1.8600 -1.9113 -1.9222 3.7442 -6.5460 7.3206" Properties=species:S:1:pos:R:3 pbc="T T T"
Zr 3.2772 -8.4327 3.1221
Zr 1.1199 -2.8496 1.1058
Ce 0.0000 0.0000 0.0000
Cd 2.1985 -5.6411 2.1139
```

Calculated values
Crystal system ... trigonal
Formation energy from the elements ... 6 kJ per mole of atoms
DOS(E_F) ... 6.56 states/eV/cell
Energy above the lowest structure with this stoichiometry ... 0.0619 eV per atom


The following is a DFT calculation (PBE-GGA) of a relaxed structure of CeZrCd.

Cell and atoms, written as extended XYZ:
```
3
Lattice="-2.5926 1.7104 -0.1275 -0.3494 -0.3005 3.0743 5.4899 5.4659 -0.4135" Properties=species:S:1:pos:R:3 pbc="T T T"
Zr 2.6413 4.0555 0.6966
Ce 2.5311 6.8499 2.5289
Cd -0.0765 2.8461 1.8412
```

Calculated values
Crystal system ... tetragonal
Formation energy from the elements ... -7 kJ per mole of atoms
DOS(E_F) ... 4.58 states/eV/cell
Energy above the lowest structure with this stoichiometry ... 0.0242 eV per atom


The following is a DFT calculation (PBE-GGA) of a relaxed structure of CeZrCd.

Cell and atoms, written as extended XYZ:
```
3
Lattice="-0.1217 -0.9869 -2.8420 3.2853 -3.8529 1.1972 -5.1320 -0.7172 0.4689" Properties=species:S:1:pos:R:3 pbc="T T T"
Zr -2.3468 -1.9288 0.2324
Ce -0.0201 -0.1633 -0.4701
Cd 0.3985 -3.4649 -0.9382
```

Calculated values
Crystal system ... trigonal
Formation energy from the elements ... 11 kJ per mole of atoms
DOS(E_F) ... 6.24 states/eV/cell
Energy above the lowest structure with this stoichiometry ... 0.2112 eV per atom


The following is a DFT calculation (PBE-GGA) of a relaxed structure of CeZrCd.

Cell and atoms, written as extended XYZ:
```
6
Lattice="-2.3925 0.1892 -1.9728 -0.1826 -3.1004 -0.0760 -9.4077 0.2745 11.4371" Properties=species:S:1:pos:R:3 pbc="T T T"
Ce -8.3265 -2.2002 5.8854
Ce -8.7354 -0.6941 8.9739
Zr -2.4650 -0.8769 1.3511
Zr -5.1896 -2.2913 2.0727
Cd -5.3986 -0.7925 4.9155
Cd -2.2558 -2.3760 -1.4924
```

Calculated values
Crystal system ... tetragonal
Formation energy from the elements ... -9 kJ per mole of atoms
DOS(E_F) ... 10.89 states/eV/cell
Energy above the lowest structure with this stoichiometry ... 0.0000 eV per atom


The following is a DFT calculation (PBE-GGA) of a relaxed structure of CeZr2Cd.

Cell and atoms, written as extended XYZ:
```
4
Lattice="-0.5707 2.9865 -0.6945 -1.4033 0.3736 2.7601 8.4376 2.5304 3.9475" Properties=species:S:1:pos:R:3 pbc="T T T"
Zr 6.4582 1.9368 3.0214
Zr 1.9794 0.5936 0.9261
Ce 3.2317 2.9453 3.0066
Cd -0.9870 1.6800 1.0328
```

Calculated values
Crystal system ... tetragonal
Formation energy from the elements ... 0 kJ per mole of atoms
DOS(E_F) ... 6.36 states/eV/cell
Energy above the lowest structure with this stoichiometry ... 0.0000 eV per atom


The following is a DFT calculation (PBE-GGA) of a relaxed structure of Cd5Cl.

Cell and atoms, written as extended XYZ:
```
6
Lattice="3.3487 0.0000 0.0000 0.0000 5.6058 0.0000 0.0000 -2.8029 7.5497" Properties=species:S:1:pos:R:3 pbc="T T T"
Cl 0.0000 0.0000 0.0000
Cd 0.0000 2.8029 2.5509
Cd 0.0000 0.0000 4.9988
Cd 1.6744 2.8029 0.0000
Cd 1.6744 0.0000 2.4667
Cd 1.6744 2.8029 5.0830
```

Calculated values
Crystal system ... orthorhombic
DOS(E_F) ... 1.88 states/eV/cell
Energy above the lowest structure with this stoichiometry ... 0.0336 eV per atom


The following is a DFT calculation (PBE-GGA) of a relaxed structure of Cd5Cl.

Cell and atoms, written as extended XYZ:
```
6
Lattice="2.7470 -2.4367 6.0328 3.0103 0.7444 6.3452 -4.1672 -0.3897 7.4795" Properties=species:S:1:pos:R:3 pbc="T T T"
Cd 1.6055 -2.0612 19.6335
Cd 1.2709 -1.3545 12.7198
Cd 0.9863 -0.8269 7.5880
Cd -1.5408 -0.7733 9.1723
Cd -1.6425 -0.2571 4.0019
Cl 4.3562 -1.3199 9.7668
```

Calculated values
Crystal system ... monoclinic
DOS(E_F) ... 1.65 states/eV/cell
Energy above the lowest structure with this stoichiometry ... 0.0000 eV per atom


The following is a DFT calculation (PBE-GGA) of a relaxed structure of CdCl.

Cell and atoms, written as extended XYZ:
```
4
Lattice="-1.7799 -3.7558 1.4328 3.9569 -1.3607 1.3486 -0.9723 2.5183 5.3935" Properties=species:S:1:pos:R:3 pbc="T T T"
Cl 0.2369 -0.4830 2.4005
Cl 0.9678 -2.1152 5.7745
Cd 2.5227 -1.9595 1.3697
Cd -0.3457 -3.1570 1.4118
```

Calculated values
Crystal system ... tetragonal
Energy ... -6.9 eV per cell
DOS(E_F) ... 2.01 states/eV/cell


The following is a DFT calculation (PBE-GGA) of a relaxed structure of CdCl4.

Cell and atoms, written as extended XYZ:
```
5
Lattice="-0.6323 0.7546 6.5233 1.0132 2.7715 -5.9004 -6.4477 -0.9636 -1.0105" Properties=species:S:1:pos:R:3 pbc="T T T"
Cd 0.0000 0.0000 0.0000
Cl -0.7525 1.5283 2.2168
Cl -4.3509 0.4348 0.1995
Cl -5.3144 1.0342 -2.6043
Cl -1.7159 2.1277 -0.5870
```

Calculated values
Crystal system ... tetragonal
Energy ... -9.1 eV per cell
DOS(E_F) ... 3.78 states/eV/cell


The following is a DFT calculation (PBE-GGA) of a relaxed structure of Cd3Cl.

Cell and atoms, written as extended XYZ:
```
4
Lattice="-3.2758 4.0720 -2.0686 -2.9084 -1.5047 1.6439 0.4764 2.5204 4.2069" Properties=species:S:1:pos:R:3 pbc="T T T"
Cl -2.2459 2.2899 0.4284
Cd -2.8909 -1.4932 1.6387
Cd -3.4619 2.7978 3.3537
Cd -1.2336 0.4963 2.9305
```

Calculated values
Crystal system ... monoclinic
Energy ... -5.2 eV per cell
DOS(E_F) ... 1.48 states/eV/cell


The following is a DFT calculation (PBE-GGA) of a relaxed structure of CdCl.

Cell and atoms, written as extended XYZ:
```
4
Lattice="4.0324 0.0000 0.0000 0.0000 6.7486 0.0000 0.0000 0.0000 4.0300" Properties=species:S:1:pos:R:3 pbc="T T T"
Cl 2.0162 0.0000 2.5311
Cl 2.0162 3.3743 2.8423
Cd 0.0000 0.0000 0.5010
Cd 0.0000 3.3743 0.8423
```

Calculated values
Crystal system ... orthorhombic
Energy ... -7.2 eV per cell
DOS(E_F) ... 1.41 states/eV/cell


The following is a DFT calculation (PBE-GGA) of a relaxed structure of CdCl.

Cell and atoms, written as extended XYZ:
```
4
Lattice="-3.9215 -2.8888 -3.5593 3.3414 -3.6271 -3.4742 -1.9254 1.2230 5.5847" Properties=species:S:1:pos:R:3 pbc="T T T"
Cl -3.4663 -2.3533 -1.8049
Cl 0.9609 -2.9396 0.3561
Cd 0.1339 -3.0734 -2.1411
Cd -2.6394 -2.2195 0.6923
```

Calculated values
Crystal system ... orthorhombic
Energy ... -8.1 eV per cell
DOS(E_F) ... 0.21 states/eV/cell


The following is a DFT calculation (PBE-GGA) of a relaxed structure of CdCl.

Cell and atoms, written as extended XYZ:
```
16
Lattice="-0.4464 11.8369 3.2634 -6.6812 2.5056 -10.0022 -3.0704 -0.6372 1.8913" Properties=species:S:1:pos:R:3 pbc="T T T"
Cd -1.2801 3.9534 -0.7461
Cd -5.8475 10.3891 -5.9927
Cd -2.3584 10.5502 -0.2740
Cd -4.7692 3.7923 -6.4647
Cd -6.3790 10.8060 -3.1698
Cd -3.8189 2.8992 -1.6776
Cd -7.0110 5.5660 -5.9612
Cd -3.1870 8.1393 1.1137
Cl -5.5033 7.7562 -6.3210
Cl -1.6242 6.5863 -0.4178
Cl -3.3523 3.6948 -4.1974
Cl -3.7753 10.6477 -2.5414
Cl -3.9211 12.1032 1.2575
Cl -6.2768 1.6020 -6.1049
Cl -8.4513 10.5474 -6.6211
Cl -1.7467 3.1579 1.7736
```

Calculated values
Crystal system ... tetragonal
Energy ... -33.8 eV per cell
DOS(E_F) ... 0.22 states/eV/cell


The following is a DFT calculation (PBE-GGA) of a relaxed structure of CdCl.

Cell and atoms, written as extended XYZ:
```
4
Lattice="-3.1996 -4.1944 -2.2459 1.6449 0.4604 -3.2030 5.0320 -1.2066 2.4107" Properties=species:S:1:pos:R:3 pbc="T T T"
Cl 0.8648 -2.9376 -3.0635
Cl 2.6125 -2.0032 0.0252
Cd 2.0273 -0.4038 -2.1023
Cd 1.4500 -4.5369 -0.9359
```

Calculated values
Crystal system ... monoclinic
Energy ... -8.5 eV per cell
DOS(E_F) ... 0.97 states/eV/cell


The following is a DFT calculation (PBE-GGA) of a relaxed structure of CdCl.

Cell and atoms, written as extended XYZ:
```
6
Lattice="1.8963 6.3661 0.1098 -1.8963 6.3661 0.1098 0.0000 6.2462 7.1187" Properties=species:S:1:pos:R:3 pbc="T T T"
Cd 0.0000 12.6361 0.5005
Cd 0.0000 6.2387 2.5491
Cd 0.0000 9.8444 5.0383
Cl 0.0000 12.4549 5.0850
Cl 0.0000 3.1241 3.1651
Cl 0.0000 15.8004 6.9003
```

Calculated values
Crystal system ... monoclinic
Energy ... -12.2 eV per cell
DOS(E_F) ... 1.25 states/eV/cell